# LiHoErSb

A relaxed structure of LiHoErSb (PBE-GGA, Alexandria via LeMat-Bulk).

Summary:
spin magnetization	0.00	μB/cell
theoretical density	7.84	g/cm³
DFT total energy	-67.2	eV for the cell shown

Unit cell a=7.3099 b=7.3099 c=7.3099 alpha=90.00 beta=90.00 gamma=90.00
With the nearest neighbours (Å) after each atom.
Fractional coordinates of all 16 atoms:
Li 0.0000 0.0000 0.0000  4 Ho 3.17, 4 Er 3.17
Li 0.0000 0.5000 0.5000  4 Ho 3.17, 4 Er 3.17
Li 0.5000 0.0000 0.5000  4 Ho 3.17, 4 Er 3.17
Li 0.5000 0.5000 0.0000  4 Ho 3.17, 4 Er 3.17
Ho 0.2500 0.2500 0.7500  4 Li 3.17, 4 Sb 3.17
Ho 0.2500 0.7500 0.2500  4 Li 3.17, 4 Sb 3.17
Ho 0.7500 0.2500 0.2500  4 Li 3.17, 4 Sb 3.17
Ho 0.7500 0.7500 0.7500  4 Li 3.17, 4 Sb 3.17
Er 0.2500 0.2500 0.2500  4 Li 3.17, 4 Sb 3.17
Er 0.2500 0.7500 0.7500  4 Li 3.17, 4 Sb 3.17
Er 0.7500 0.2500 0.7500  4 Li 3.17, 4 Sb 3.17
Er 0.7500 0.7500 0.2500  4 Li 3.17, 4 Sb 3.17
Sb 0.0000 0.0000 0.5000  4 Ho 3.17, 4 Er 3.17
Sb 0.0000 0.5000 0.0000  4 Ho 3.17, 4 Er 3.17
Sb 0.5000 0.0000 0.0000  4 Ho 3.17, 4 Er 3.17
Sb 0.5000 0.5000 0.5000  4 Ho 3.17, 4 Er 3.17